VASP calculation (GGA-PBE) on Hf2CuReAg after structural relaxation.

Its formation energy is 1.06 eV/atom. The electronic total energy comes out at -6.8046 eV/atom.

The structure belongs to space group P4/mmm (No. 123); the cell edges are 4.9261, 4.9261 and 5.1287 Å and the angles 90.00°, 90.00° and 90.00°. The inequivalent atoms are Hf at (0.0000, 0.5000, 0.0000), Cu at (0.0000, 0.0000, 0.5000), Re at (0.5000, 0.5000, 0.0000) and Ag at (0.5000, 0.5000, 0.5000).

VASP calculation (GGA-PBE) on CeEu2 after structural relaxation.

Its energy above the most stable polymorph in this dataset is 227 meV per atom. Its formation energy is 0.41 eV/atom. The electronic total energy comes out at -8.4210 eV/atom.

The structure belongs to space group Fd-3m (No. 227, origin choice 2); the cell edges are 9.8553, 9.8553 and 9.8553 Å and the angles 90.00°, 90.00° and 90.00°. The inequivalent atoms are Ce at (0.1250, 0.1250, 0.1250) and Eu at (0.0000, 0.0000, 0.5000).

VASP calculation (GGA-PBE) on SrZnRe2 after structural relaxation.

Its formation energy is 0.85 eV/atom. The electronic total energy comes out at -6.1143 eV/atom.

The structure belongs to space group Cmmm (No. 65); the cell edges are 3.3921, 4.2986 and 9.6758 Å and the angles 90.00°, 90.00° and 90.00°. The inequivalent atoms are Sr at (0.0000, 0.0000, 0.0000), Zn at (0.0000, 0.0000, 0.5000) and Re at (0.0000, 0.5000, 0.2827).

VASP calculation (GGA-PBE) on Cs3La2PmO6 after structural relaxation.

Its formation energy (no corrections) is -2562 meV/atom. The electronic total energy comes out at -6.4718 eV/atom.

The structure belongs to space group C2/m (No. 12); the cell edges are 6.4893, 11.2426 and 7.2728 Å and the angles 90.00°, 107.29° and 90.00°. The inequivalent atoms are Cs at (0.0000, 0.0000, 0.0000), Cs at (0.0000, 0.3340, 0.0000), La at (0.0000, 0.1667, 0.5000), Pm at (0.0000, 0.5000, 0.5000), O at (0.2201, 0.3364, 0.6691) and O at (0.2292, 0.0000, 0.6695).

VASP calculation (GGA-PBE) on InSn2S6 after structural relaxation.

Its formation energy (no corrections) is -137 meV/atom. The electronic total energy comes out at -4.0823 eV/atom.

The structure belongs to space group C2/m (No. 12); the cell edges are 11.8675, 4.5999 and 8.3958 Å and the angles 90.00°, 103.85° and 90.00°. The inequivalent atoms are In at (0.0000, 0.0000, 0.0000), Sn at (0.2147, 0.0000, 0.6804), S at (0.0109, 0.0000, 0.7104), S at (0.1451, 0.5000, 0.0590) and S at (0.1663, 0.5000, 0.5447).

VASP calculation (GGA-PBE) on Nd3ErMg2 after structural relaxation.

Its formation energy is -0.05 eV/atom. The electronic total energy comes out at -3.7291 eV/atom.

The structure belongs to space group P4/mmm (No. 123); the cell edges are 3.8063, 3.8063 and 12.6933 Å and the angles 90.00°, 90.00° and 90.00°. The inequivalent atoms are Nd at (0.0000, 0.0000, 0.0000), Nd at (0.0000, 0.0000, 0.3120), Er at (0.5000, 0.5000, 0.5000) and Mg at (0.5000, 0.5000, 0.1558).

VASP calculation (GGA-PBE) on Na5Li4 after structural relaxation.

Its formation energy is 0.06 eV/atom. The electronic total energy comes out at -1.5272 eV/atom.

The structure belongs to space group C2/m (No. 12); the cell edges are 11.0296, 4.9864 and 10.3260 Å and the angles 90.00°, 111.90° and 90.00°. The inequivalent atoms are Na at (0.0000, 0.0000, 0.0000), Na at (0.1549, 0.5000, 0.8805), Na at (0.1668, 0.5000, 0.5538), Li at (0.0019, 0.0000, 0.3381) and Li at (0.1753, 0.5000, 0.2305).

VASP calculation (GGA-PBE) on DyThTeSe after structural relaxation.

Its formation energy (no corrections) is -1399 meV/atom. The electronic total energy comes out at -6.0610 eV/atom.

The structure belongs to space group R3m (No. 160, hexagonal axes); the cell edges are 4.0907, 4.0907 and 23.0182 Å and the angles 90.00°, 90.00° and 120.00°. The inequivalent atoms are Dy at (0.0000, 0.0000, 0.0000), Th at (0.0000, 0.0000, 0.8167), Te at (0.0000, 0.0000, 0.5794) and Se at (0.0000, 0.0000, 0.4032).

VASP calculation (GGA-PBE) on Sr2Zn3Cu after structural relaxation.

Its formation energy is -0.20 eV/atom. The electronic total energy comes out at -2.0795 eV/atom.

The structure belongs to space group Fmmm (No. 69); the cell edges are 8.7168, 8.9908 and 15.3611 Å and the angles 90.00°, 90.00° and 90.00°. The inequivalent atoms are Sr at (0.2464, 0.0000, 0.0000), Sr at (0.2500, 0.2500, 0.2500), Zn at (0.0000, 0.0000, 0.3304), Zn at (0.0000, 0.2464, 0.0852) and Cu at (0.0000, 0.0000, 0.1656).

VASP calculation (GGA-PBE) on ZrZnGa after structural relaxation.

Its formation energy is -0.48 eV/atom. The electronic total energy comes out at -4.7610 eV/atom.

The structure belongs to space group P-6m2 (No. 187); the cell edges are 4.3007, 4.3007 and 3.2672 Å and the angles 90.00°, 90.00° and 120.00°. The inequivalent atoms are Zr at (0.0000, 0.0000, 0.0000), Zn at (0.3333, 0.6667, 0.5000) and Ga at (0.6667, 0.3333, 0.5000).

VASP calculation (GGA-PBE) on MgPd2Pt2Au after structural relaxation.

Its formation energy is -0.28 eV/atom. The electronic total energy comes out at -4.8401 eV/atom.

The structure belongs to space group P2_1/m (No. 11); the cell edges are 5.2632, 5.5082 and 6.8980 Å and the angles 90.00°, 96.76° and 90.00°. The inequivalent atoms are Mg at (0.2178, 0.2500, 0.1552), Pd at (0.3021, 0.0021, 0.8056), Pt at (0.0022, 0.7500, 0.5026), Pt at (0.4998, 0.2500, 0.5056) and Au at (0.1877, 0.7500, 0.1332).

VASP calculation (GGA-PBE) on PmDyGePt after structural relaxation.

Its energy above the most stable polymorph in this dataset is 142 meV per atom. Its formation energy is -0.89 eV/atom. The electronic total energy comes out at -5.8940 eV/atom.

The structure belongs to space group F-43m (No. 216); the cell edges are 7.1765, 7.1765 and 7.1765 Å and the angles 90.00°, 90.00° and 90.00°. The inequivalent atoms are Pm at (0.0000, 0.0000, 0.0000), Dy at (0.0000, 0.0000, 0.5000), Ge at (0.2500, 0.2500, 0.7500) and Pt at (0.2500, 0.2500, 0.2500).

VASP calculation (GGA-PBE) on ScCr2PdPt after structural relaxation.

Its formation energy is 0.73 eV/atom. The electronic total energy comes out at -6.6324 eV/atom.

The structure belongs to space group P4/mmm (No. 123); the cell edges are 4.6688, 4.6688 and 5.0745 Å and the angles 90.00°, 90.00° and 90.00°. The inequivalent atoms are Sc at (0.0000, 0.0000, 0.0000), Cr at (0.0000, 0.5000, 0.5000), Pd at (0.5000, 0.5000, 0.0000) and Pt at (0.5000, 0.5000, 0.5000).

no.,total moment (μB per formula unit)
1,0.0
2,17.1
3,0.0
4,0.0
5,0.0
6,0.0
7,0.0
8,0.0
9,0.0
10,0.0
11,0.0
12,0.0
13,7.0